(1)
Here is a crystal of Nb4Co4Si7 relaxed with PBEsol from Alexandria. Energies are from SCAN.

```
Nb4Co4Si7
1.0
4.944 0.000 0.000
2.472 8.816 0.000
2.472 0.000 8.816
Nb Co Si
8 8 14
direct
0.691 0.809 0.809
0.309 0.191 0.191
0.500 0.191 0.809
0.500 0.809 0.191
0.866 0.269 0.000
0.134 0.731 0.000
0.866 0.000 0.269
0.134 0.000 0.731
0.101 0.798 0.500
0.399 0.202 0.500
0.601 0.500 0.798
0.899 0.500 0.202
0.899 0.202 0.500
0.601 0.798 0.500
0.399 0.500 0.202
0.101 0.500 0.798
0.709 0.582 0.000
0.291 0.418 0.000
0.709 0.000 0.582
0.291 0.000 0.418
0.905 0.595 0.595
0.095 0.405 0.405
0.500 0.405 0.595
0.500 0.595 0.405
0.249 0.000 0.000
0.751 0.000 0.000
0.702 0.298 0.298
0.298 0.702 0.702
0.000 0.702 0.298
0.000 0.298 0.702
```

Output
ΔE_f (raw)	-0.65	eV/atom
Fermi-level density of states	0.53	states/eV/atom
symmetry	No. 139

(2)
Here is a crystal of LiCuAg2 relaxed with PBEsol from Alexandria. Energies are from SCAN.

```
LiCuAg2
1.0
2.761 0.000 0.000
0.000 4.631 -0.006
-1.381 -0.843 4.533
Ag Cu Li
2 1 1
direct
0.000 0.981 0.999
0.755 0.275 0.510
0.499 0.484 0.999
0.246 0.760 0.492
```

Output
Fermi-level density of states	0.26	states/eV/atom
calculated formation energy	-34	meV/atom
symmetry	No. 8

(3)
Here is a crystal of La3InNiS7 relaxed with PBEsol from Alexandria. Energies are from SCAN.

```
La3InNiS7
1.0
6.303 0.000 0.000
0.000 9.921 0.000
0.000 -4.960 8.592
La In Ni S
6 2 2 14
direct
0.188 0.159 0.373
0.188 0.213 0.841
0.188 0.627 0.787
0.688 0.841 0.627
0.688 0.787 0.159
0.688 0.373 0.213
0.115 0.667 0.333
0.615 0.333 0.667
0.019 0.000 0.000
0.519 0.000 0.000
0.276 0.877 0.095
0.276 0.218 0.123
0.276 0.905 0.782
0.776 0.123 0.905
0.776 0.782 0.877
0.776 0.095 0.218
0.453 0.443 0.517
0.453 0.074 0.557
0.453 0.483 0.926
0.953 0.557 0.483
0.953 0.926 0.443
0.953 0.517 0.074
0.495 0.667 0.333
0.995 0.333 0.667
```

Output
ΔE_f (raw)	-1.81	eV/atom
symmetry	No. 173

(4)
Here is a crystal of BeOsRh relaxed with PBEsol from Alexandria. Energies are from SCAN.

```
BeOsRh
1.0
-1.313 -1.084 3.374
0.935 -3.386 1.393
2.347 -0.247 2.951
Rh Os Be
1 1 1
direct
0.500 0.500 0.500
0.000 0.000 0.000
0.250 0.250 0.250
```

Output
Fermi-level density of states	1.19	states/eV/atom
calculated formation energy	337	meV/atom
symmetry	No. 216